1.
Material: AcNd2Tl
Method: DFT, GGA-PBE
State: optimized geometry

Computed properties:
energy of formation: -18 meV per atom
energy: -4.020 eV per atom
distance to the lowest polymorph of the same formula: 0.160 eV/atom
Fermi-level density of states: 7.597 states/eV/cell

a b c (Å): 5.738 5.738 5.738
angles (deg): 60.00 60.00 60.00
Atoms (fractional coordinates):
Ac  0.500  0.500  0.500
Nd  0.250  0.250  0.250
Nd  0.750  0.750  0.750
Tl  0.000  0.000  0.000

2.
Material: ReRhCl2
Method: DFT, GGA-PBE
State: optimized geometry

Computed properties:
energy: -5.552 eV per atom
distance to the lowest polymorph of the same formula: 0.351 eV/atom
raw formation energy: 0.32 eV/atom
Fermi-level density of states: 3.829 states/eV/cell

a b c (Å): 7.253 7.253 7.253
angles (deg): 156.85 143.84 43.38
Atoms (fractional coordinates):
Re  0.750  0.250  0.500
Rh  0.250  0.750  0.500
Cl  0.894  0.894  0.000
Cl  0.606  0.606  0.000

3.
Material: LiTa2Te4
Method: DFT, GGA-PBE
State: optimized geometry

Computed properties:
energy: -5.710 eV per atom
raw formation energy: -0.25 eV/atom
Fermi-level density of states: 8.668 states/eV/cell

a b c (Å): 8.145 8.147 8.142
angles (deg): 119.99 120.00 90.02
Atoms (fractional coordinates):
Li  0.250  0.750  0.500
Li  0.000  0.000  0.000
Ta  0.625  0.875  0.250
Ta  0.625  0.375  0.750
Ta  0.125  0.375  0.750
Ta  0.625  0.375  0.250
Te  0.871  0.614  0.742
Te  0.379  0.136  0.758
Te  0.871  0.129  0.258
Te  0.386  0.129  0.258
Te  0.871  0.129  0.742
Te  0.379  0.621  0.242
Te  0.864  0.621  0.242
Te  0.379  0.621  0.758

4.
Material: DyAlFe5
Method: DFT, GGA-PBE
State: optimized geometry

Computed properties:
energy of formation: -135 meV per atom
energy: -7.372 eV per atom
Fermi-level density of states: 28.145 states/eV/cell

a b c (Å): 4.870 7.980 10.159
angles (deg): 90.00 90.00 90.00
Each line ends with the local moment (μB).
Atoms (fractional coordinates):
Dy  0.250  0.239  0.939  -0.30
Dy  0.750  0.261  0.439  -0.30
Dy  0.250  0.739  0.561  -0.30
Dy  0.750  0.761  0.061  -0.30
Al  0.250  0.857  0.859  -0.06
Al  0.750  0.643  0.359  -0.06
Al  0.250  0.357  0.641  -0.06
Al  0.750  0.143  0.141  -0.06
Fe  0.250  0.587  0.018  2.23
Fe  0.750  0.913  0.518  2.23
Fe  0.250  0.087  0.482  2.23
Fe  0.750  0.413  0.982  2.23
Fe  0.750  0.307  0.748  1.92
Fe  0.250  0.193  0.248  1.92
Fe  0.750  0.807  0.752  1.92
Fe  0.250  0.693  0.252  1.92
Fe  0.250  0.948  0.108  2.12
Fe  0.750  0.552  0.608  2.12
Fe  0.250  0.448  0.392  2.12
Fe  0.750  0.052  0.892  2.12
Fe  0.995  0.437  0.189  1.86
Fe  0.005  0.063  0.689  1.86
Fe  0.505  0.937  0.311  1.86
Fe  0.495  0.563  0.811  1.86
Fe  0.005  0.563  0.811  1.86
Fe  0.995  0.937  0.311  1.86
Fe  0.495  0.063  0.689  1.86
Fe  0.505  0.437  0.189  1.86